1.
The following is a DFT calculation (PBE) of PrNdSeN after structural relaxation.

a = 7.184 Å, b = 7.184 Å, c = 7.184 Å
α = 31.06°, β = 31.06°, γ = 31.06°
Fractional positions:
Pr 0.000 0.000 0.000
Nd 0.532 0.532 0.532
Se 0.767 0.767 0.767
N 0.265 0.265 0.265

***

2.
The following is a DFT calculation (PBE) of Pr2NdSiN4 after structural relaxation.

a = 6.162 Å, b = 6.162 Å, c = 12.243 Å
α = 90.00°, β = 90.00°, γ = 147.05°
Fractional positions:
Pr 0.133 0.867 0.543
Pr 0.133 0.867 0.957
Pr 0.867 0.133 0.043
Pr 0.867 0.133 0.457
Nd 0.406 0.594 0.750
Nd 0.594 0.406 0.250
Si 0.318 0.682 0.250
Si 0.682 0.318 0.750
N 0.098 0.902 0.750
N 0.225 0.775 0.139
N 0.225 0.775 0.361
N 0.500 0.500 0.000
N 0.500 0.500 0.500
N 0.775 0.225 0.639
N 0.775 0.225 0.861
N 0.902 0.098 0.250

***

3.
The following is a DFT calculation (PBE) of PrNd2SiN4 after structural relaxation.

a = 6.166 Å, b = 6.166 Å, c = 12.090 Å
α = 90.00°, β = 90.00°, γ = 147.10°
Fractional positions:
Pr 0.091 0.909 0.750
Pr 0.909 0.091 0.250
Nd 0.367 0.633 0.543
Nd 0.367 0.633 0.957
Nd 0.633 0.367 0.043
Nd 0.633 0.367 0.457
Si 0.182 0.818 0.250
Si 0.818 0.182 0.750
N 0.000 0.000 0.000
N 0.000 0.000 0.500
N 0.272 0.728 0.137
N 0.272 0.728 0.363
N 0.402 0.598 0.750
N 0.598 0.402 0.250
N 0.728 0.272 0.637
N 0.728 0.272 0.863

***

4.
The following is a DFT calculation (PBE) of PrNdSm2N4 after structural relaxation.

a = 6.285 Å, b = 3.631 Å, c = 6.287 Å
α = 90.00°, β = 109.41°, γ = 90.00°
Fractional positions:
Pr 0.000 0.000 0.000
Nd 0.500 0.500 0.000
Sm 0.000 0.500 0.500
Sm 0.500 0.000 0.500
N 0.249 0.000 0.745
N 0.253 0.500 0.256
N 0.747 0.500 0.744
N 0.751 0.000 0.255

***

5.
The following is a DFT calculation (PBE) of Pr2NdSmN4 after structural relaxation.

a = 6.330 Å, b = 3.657 Å, c = 6.331 Å
α = 90.00°, β = 109.41°, γ = 90.00°
Fractional positions:
Pr 0.000 0.000 0.000
Pr 0.500 0.500 0.000
Nd 0.000 0.500 0.500
Sm 0.500 0.000 0.500
N 0.251 0.000 0.746
N 0.253 0.500 0.255
N 0.747 0.500 0.745
N 0.749 0.000 0.254

***

6.
The following is a DFT calculation (PBE) of PrNd2SnN4 after structural relaxation.

a = 6.333 Å, b = 6.333 Å, c = 12.445 Å
α = 90.00°, β = 90.00°, γ = 146.26°
Fractional positions:
Pr 0.112 0.888 0.750
Pr 0.888 0.112 0.250
Nd 0.371 0.629 0.537
Nd 0.371 0.629 0.963
Nd 0.629 0.371 0.037
Nd 0.629 0.371 0.463
Sn 0.152 0.848 0.250
Sn 0.848 0.152 0.750
N 0.000 0.000 0.000
N 0.000 0.000 0.500
N 0.272 0.728 0.128
N 0.272 0.728 0.372
N 0.443 0.557 0.750
N 0.557 0.443 0.250
N 0.728 0.272 0.628
N 0.728 0.272 0.872

***

7.
The following is a DFT calculation (PBE) of Pr2NdSnN4 after structural relaxation.

a = 6.350 Å, b = 6.350 Å, c = 12.566 Å
α = 90.00°, β = 90.00°, γ = 146.44°
Fractional positions:
Pr 0.130 0.870 0.536
Pr 0.130 0.870 0.964
Pr 0.870 0.130 0.036
Pr 0.870 0.130 0.464
Nd 0.385 0.615 0.750
Nd 0.615 0.385 0.250
Sn 0.349 0.651 0.250
Sn 0.651 0.349 0.750
N 0.055 0.945 0.750
N 0.227 0.773 0.130
N 0.227 0.773 0.370
N 0.500 0.500 0.000
N 0.500 0.500 0.500
N 0.773 0.227 0.630
N 0.773 0.227 0.870
N 0.945 0.055 0.250

***

8.
The following is a DFT calculation (PBE) of Pr4Nd2Sn3N2 after structural relaxation.

a = 13.485 Å, b = 13.485 Å, c = 13.485 Å
α = 158.96°, β = 158.96°, γ = 29.92°
Fractional positions:
Pr 0.084 0.584 0.500
Pr 0.416 0.916 0.500
Pr 0.584 0.084 0.500
Pr 0.916 0.416 0.500
Nd 0.194 0.194 0.000
Nd 0.806 0.806 0.000
Sn 0.323 0.323 0.000
Sn 0.500 0.500 0.000
Sn 0.677 0.677 0.000
N 0.105 0.105 0.000
N 0.895 0.895 0.000

***

no.,E_form (uncorrected) (eV per atom)
1,-1.59
2,-1.06
3,-1.12
4,-1.40
5,-1.35
6,-0.75
7,-0.71
8,-0.91